(1)
A geometry-optimized Cu2Pt8Rh3 structure, computed with GGA-PBE.

Summary:
Distance to the lowest polymorph of the same formula (meV per atom): 0.0
Volume (Å³ per atom): 14.87
Energy of formation (kJ/mol of atoms): -4.6

```
data_Cu2Pt8Rh3
_chemical_formula_sum 'Cu2 Pt8 Rh3'
_cell_length_a 4.784
_cell_length_b 6.187
_cell_length_c 7.294
_cell_angle_alpha 94.91
_cell_angle_beta 109.12
_cell_angle_gamma 105.19
_symmetry_space_group_name_H-M 'P -1'
_symmetry_Int_Tables_number 2
loop_
_symmetry_equiv_pos_as_xyz
'x,y,z'
'-x,-y,-z'
loop_
_atom_site_label
_atom_site_type_symbol
_atom_site_fract_x
_atom_site_fract_y
_atom_site_fract_z
_atom_site_occupancy
Cu1 Cu 0.114 0.229 0.075 1
Pt1 Pt 0.044 0.073 0.700 1
Pt2 Pt 0.271 0.543 0.847 1
Pt3 Pt 0.342 0.692 0.227 1
Pt4 Pt 0.428 0.843 0.617 1
Rh1 Rh 0.191 0.388 0.459 1
Rh2 Rh 0.500 0.000 0.000 1
```

(2)
A geometry-optimized Cu2Pt8Rh3 structure, computed with GGA-PBE.

Summary:
Distance to the lowest polymorph of the same formula (meV per atom): 197.4
Volume (Å³ per atom): 15.71
Energy of formation (kJ/mol of atoms): 14.4

```
data_Cu2Pt8Rh3
_chemical_formula_sum 'Cu4 Pt16 Rh6'
_cell_length_a 12.079
_cell_length_b 8.452
_cell_length_c 4.085
_cell_angle_alpha 90.00
_cell_angle_beta 101.65
_cell_angle_gamma 90.00
_symmetry_space_group_name_H-M 'C 1 2/m 1'
_symmetry_Int_Tables_number 12
loop_
_symmetry_equiv_pos_as_xyz
'x,y,z'
'-x,-y,-z'
'-x,y,-z'
'x,-y,z'
'x+1/2,y+1/2,z'
'-x+1/2,-y+1/2,-z'
'-x+1/2,y+1/2,-z'
'x+1/2,-y+1/2,z'
loop_
_atom_site_label
_atom_site_type_symbol
_atom_site_fract_x
_atom_site_fract_y
_atom_site_fract_z
_atom_site_occupancy
Cu1 Cu 0.197 0.000 0.339 1
Pt1 Pt 0.072 0.000 0.791 1
Pt2 Pt 0.152 0.270 0.597 1
Pt3 Pt 0.172 0.500 0.099 1
Rh1 Rh 0.000 0.276 0.000 1
Rh2 Rh 0.000 0.500 0.500 1
```

(3)
A geometry-optimized CuPtRh2 structure, computed with GGA-PBE.

Summary:
Distance to the lowest polymorph of the same formula (meV per atom): 189.6
Volume (Å³ per atom): 14.46
Energy of formation (kJ/mol of atoms): 14.2

```
data_CuPtRh2
_chemical_formula_sum 'Cu2 Pt2 Rh4'
_cell_length_a 2.725
_cell_length_b 4.658
_cell_length_c 9.111
_cell_angle_alpha 90.00
_cell_angle_beta 90.00
_cell_angle_gamma 90.00
_symmetry_space_group_name_H-M 'C m m m'
_symmetry_Int_Tables_number 65
_symmetry_space_group_name_Hall '-C 2 2'
loop_
_atom_site_label
_atom_site_type_symbol
_atom_site_fract_x
_atom_site_fract_y
_atom_site_fract_z
_atom_site_occupancy
Cu1 Cu 0.000 0.000 0.000 1
Pt1 Pt 0.000 0.000 0.500 1
Rh1 Rh 0.000 0.500 0.239 1
```

(4)
A geometry-optimized CuPtRh2 structure, computed with GGA-PBE.

Summary:
Distance to the lowest polymorph of the same formula (meV per atom): 142.5
Volume (Å³ per atom): 14.46
Energy of formation (kJ/mol of atoms): 9.7

```
data_CuPtRh2
_chemical_formula_sum 'Cu2 Pt2 Rh4'
_cell_length_a 2.715
_cell_length_b 4.669
_cell_length_c 9.127
_cell_angle_alpha 90.00
_cell_angle_beta 90.00
_cell_angle_gamma 90.00
_symmetry_space_group_name_H-M 'C m m 2'
_symmetry_Int_Tables_number 35
loop_
_symmetry_equiv_pos_as_xyz
'x,y,z'
'-x,-y,z'
'-x,y,z'
'x,-y,z'
'x+1/2,y+1/2,z'
'-x+1/2,-y+1/2,z'
'-x+1/2,y+1/2,z'
'x+1/2,-y+1/2,z'
loop_
_atom_site_label
_atom_site_type_symbol
_atom_site_fract_x
_atom_site_fract_y
_atom_site_fract_z
_atom_site_occupancy
Cu1 Cu 0.000 0.000 0.000 1
Pt1 Pt 0.000 0.500 0.245 1
Rh1 Rh 0.000 0.000 0.511 1
Rh2 Rh 0.000 0.500 0.759 1
```

What is the volume in the fourth record?
14.46 Å³ per atom

Which value of volume does entry 1 give?
14.87 Å³ per atom